a.
Nb3AlGe GGA-PBE optimized geometry; SG = Pm-3m (221)
1.0
-1.289 -0.624 4.531
4.568 0.059 1.307
-0.228 4.710 0.584
Ge Al Nb
1 1 3
Direct
0.000 0.000 0.000
0.500 0.500 0.500
0.000 0.500 0.000
0.500 0.000 0.000
0.000 0.000 0.500

***

b.
Nb3AlGe GGA-PBE optimized geometry; SG = C2/c (15)
1.0
-0.801 6.122 3.305
-5.433 4.376 0.617
-3.018 -4.624 8.206
Nb Al Ge
12 4 4
Direct
0.295 0.811 0.914
0.278 0.340 0.797
0.105 0.120 0.679
0.895 0.880 0.321
0.722 0.660 0.203
0.660 0.722 0.703
0.811 0.295 0.414
0.340 0.278 0.297
0.189 0.705 0.586
0.120 0.105 0.179
0.705 0.189 0.086
0.880 0.895 0.821
0.591 0.115 0.561
0.885 0.409 0.939
0.115 0.591 0.061
0.409 0.885 0.439
0.615 0.385 0.750
0.000 0.500 0.500
0.500 0.000 0.000
0.385 0.615 0.250

***

Stability check: which of them is least stable? a.

***

a.
Nb4AlGe GGA-PBE optimized geometry; SG = C2/c (15)
1.0
-4.758 -0.979 0.991
3.726 -4.046 -3.187
2.665 -0.945 8.002
Nb Ge Al
8 2 2
Direct
0.457 0.711 0.924
0.543 0.289 0.076
0.968 0.213 0.924
0.716 0.462 0.424
0.208 0.962 0.424
0.792 0.038 0.576
0.284 0.538 0.576
0.032 0.787 0.076
0.875 0.125 0.250
0.125 0.875 0.750
0.375 0.625 0.251
0.625 0.375 0.749

***

b.
Nb4AlGe GGA-PBE optimized geometry; SG = P4/mcc (124)
1.0
5.286 0.000 0.000
0.000 6.290 0.000
0.000 0.000 6.290
Nb Al Ge
8 2 2
Direct
0.500 0.659 0.154
0.500 0.846 0.659
0.500 0.341 0.846
0.000 0.659 0.846
0.000 0.341 0.154
0.500 0.154 0.341
0.000 0.846 0.341
0.000 0.154 0.659
0.750 0.500 0.500
0.250 0.500 0.500
0.750 0.000 0.000
0.250 0.000 0.000

***

Stability check: which of them is least stable? a.

***

a.
Nd2AlGe3 GGA-PBE optimized geometry; SG = Fmmm (69)
1.0
1.214 -4.259 -4.073
1.552 -3.527 4.620
-8.551 1.381 0.217
Nd Ge Al
4 6 2
Direct
0.244 0.244 0.000
0.250 0.750 0.500
0.756 0.756 0.000
0.750 0.250 0.500
0.171 0.171 0.343
0.170 0.661 0.832
0.339 0.830 0.168
0.829 0.829 0.657
0.830 0.339 0.168
0.661 0.170 0.832
0.666 0.666 0.332
0.334 0.334 0.668

***

b.
Nd2AlGe3 GGA-PBE optimized geometry; SG = Pmm2 (25)
1.0
-2.915 2.925 -0.258
-2.578 -2.750 -2.052
-2.922 -2.316 6.777
Ge Al Nd
3 1 2
Direct
0.500 0.000 0.835
0.500 0.000 0.173
0.500 0.500 0.657
0.500 0.500 0.334
0.000 0.500 0.996
0.000 0.000 0.506

***

Stability check: which of them is least stable? a.

***

a.
Al2Ni2Ge GGA-PBE optimized geometry; SG = P4/mbm (127)
1.0
6.953 0.000 0.000
0.000 6.953 0.000
0.000 0.000 2.806
Ge Al Ni
2 4 4
Direct
0.000 0.000 0.000
0.500 0.500 0.000
0.656 0.844 0.500
0.156 0.656 0.500
0.844 0.344 0.500
0.344 0.156 0.500
0.361 0.861 0.000
0.861 0.639 0.000
0.139 0.361 0.000
0.639 0.139 0.000

***

b.
Al2Ni2Ge GGA-PBE optimized geometry; SG = P4/mbm (127)
1.0
7.190 0.000 0.000
0.000 7.190 0.000
0.000 0.000 2.718
Ni Al Ge
4 4 2
Direct
0.849 0.349 0.500
0.151 0.651 0.500
0.349 0.151 0.500
0.651 0.849 0.500
0.359 0.859 0.000
0.641 0.141 0.000
0.859 0.641 0.000
0.141 0.359 0.000
0.500 0.500 0.000
0.000 0.000 0.000

***

Stability check: which of them is least stable? b.

***

a.
AlNi8Ge2 GGA-PBE optimized geometry; SG = C2/m (12)
1.0
3.662 0.000 0.000
0.000 5.748 0.149
-1.831 -2.293 6.041
Ni Ge Al
8 2 1
Direct
0.592 0.462 0.183
0.963 0.268 0.927
0.675 0.921 0.351
0.037 0.732 0.073
0.408 0.538 0.817
0.850 0.786 0.701
0.150 0.214 0.299
0.325 0.079 0.649
0.211 0.667 0.422
0.789 0.333 0.578
0.500 0.000 0.000

***

b.
AlNi8Ge2 GGA-PBE optimized geometry; SG = Immm (71)
1.0
-2.876 -0.844 2.193
-4.032 0.798 -4.981
4.015 -5.271 0.093
Ni Ge Al
8 2 1
Direct
0.337 0.568 0.675
0.152 0.152 0.304
0.663 0.894 0.325
0.000 0.288 0.000
0.848 0.848 0.696
0.000 0.712 0.000
0.337 0.106 0.675
0.663 0.432 0.325
0.819 0.319 0.638
0.181 0.681 0.362
0.500 0.000 0.000

***

Stability check: which of them is least stable? a.

***

a.
AlNi2Ge2 GGA-PBE optimized geometry; SG = P4/mbm (127)
1.0
6.948 0.000 0.000
0.000 6.948 0.000
0.000 0.000 2.956
Ni Ge Al
4 4 2
Direct
0.131 0.369 0.000
0.869 0.631 0.000
0.369 0.869 0.000
0.631 0.131 0.000
0.334 0.166 0.500
0.666 0.834 0.500
0.834 0.334 0.500
0.166 0.666 0.500
0.000 0.000 0.000
0.500 0.500 0.000

***

b.
AlNi2Ge2 GGA-PBE optimized geometry; SG = P4/mbm (127)
1.0
7.405 0.000 0.000
0.000 7.405 0.000
0.000 0.000 2.623
Al Ge Ni
2 4 4
Direct
0.500 0.500 0.000
0.000 0.000 0.000
0.638 0.138 0.000
0.362 0.862 0.000
0.862 0.638 0.000
0.138 0.362 0.000
0.841 0.341 0.500
0.659 0.841 0.500
0.341 0.159 0.500
0.159 0.659 0.500

***

Stability check: which of them is least stable? b.